## MnPd3 (PBE)

Data for an optimized crystal structure of MnPd3.

Results
Its density is 10176 kg/m³. The value obtained for the energy of formation is -194 meV per atom.

a b c (Å): 3.955 3.955 7.807
angles (deg): 90.00 90.00 90.00
Space group I4/mmm (No. 139)
Asymmetric unit:
Mn 0.000 0.000 0.000
Pd 0.000 0.000 0.500
Pd 0.000 0.500 0.250